(1)
First-principles (PBE) data for a relaxed structure of SmDy12Tl6, as listed in Alexandria via LeMat-Bulk.

Cell: 8.9029 8.9029 8.9029 Å, 103.63 103.63 103.63°
Closest atoms and distances in Å follow each position.
Sites, in units of the cell vectors:
Tl 0.7606 0.3071 0.7606  7 Dy 3.00-3.21
Tl 0.2394 0.2394 0.6929  7 Dy 3.00-3.21
Tl 0.3071 0.7606 0.7606  7 Dy 3.00-3.21
Tl 0.2394 0.6929 0.2394  7 Dy 3.00-3.21
Tl 0.7606 0.7606 0.3071  7 Dy 3.00-3.21
Tl 0.6929 0.2394 0.2394  7 Dy 3.00-3.21
Dy 0.1277 0.5000 0.8723  4 Tl 3.00-3.10
Dy 0.5531 0.5531 0.8190  3 Tl 3.20-3.21
Dy 0.1810 0.4469 0.4469  3 Tl 3.20-3.21
Dy 0.5000 0.1277 0.8723  4 Tl 3.00-3.10
Dy 0.8723 0.5000 0.1277  4 Tl 3.00-3.10
Dy 0.4469 0.4469 0.1810  3 Tl 3.20-3.21
Dy 0.8723 0.1277 0.5000  4 Tl 3.00-3.10
Dy 0.5000 0.8723 0.1277  4 Tl 3.00-3.10
Dy 0.1277 0.8723 0.5000  4 Tl 3.00-3.10
Dy 0.4469 0.1810 0.4469  3 Tl 3.20-3.21
Dy 0.8190 0.5531 0.5531  3 Tl 3.20-3.21
Dy 0.5531 0.8190 0.5531  3 Tl 3.20-3.21
Sm 0.0000 0.0000 0.0000  6 Tl 4.46, 18 Dy 4.56-4.80

Its space group is R-3m, No. 166. As for the energy: -3.895 eV/atom. The value obtained for the formation energy is 0.01 eV/atom. The calculation puts the theoretical density at 8.71 Mg/m³.


(2)
First-principles (PBE) data for a relaxed structure of Tm4CdPt2, as listed in Alexandria via LeMat-Bulk.

Cell: 4.6568 4.6568 10.0391 Å, 76.59 76.59 60.00°
Closest atoms and distances in Å follow each position.
Sites, in units of the cell vectors:
Pt 0.5995 0.5995 0.2014  7 Tm 2.85-2.96, 1 Cd 2.89
Pt 0.4005 0.4005 0.7986  7 Tm 2.85-2.96, 1 Cd 2.89
Cd 0.5000 0.5000 0.5000  2 Pt 2.89, 6 Tm 3.15
Tm 0.7013 0.7013 0.8962  4 Pt 2.85-2.95
Tm 0.2987 0.2987 0.1038  4 Pt 2.85-2.95
Tm 0.8901 0.8901 0.3298  3 Pt 2.96, 3 Cd 3.15
Tm 0.1099 0.1099 0.6702  3 Pt 2.96, 3 Cd 3.15

Its space group is R-3m, No. 166. The value obtained for the distance to the lowest polymorph of the same formula is 68 meV per atom. As for the energy: -5.184 eV/atom. The value obtained for the formation energy is -0.77 eV/atom. The calculation puts the theoretical density at 10.77 Mg/m³.


(3)
First-principles (PBE) data for a relaxed structure of CaTh3Zn4, as listed in Alexandria via LeMat-Bulk.

Cell: 3.6079 5.2004 10.5013 Å, 90.00 90.00 90.00°
Closest atoms and distances in Å follow each position.
Sites, in units of the cell vectors:
Zn 0.0000 0.0000 0.5000  8 Th 3.16-3.18
Zn 0.0000 0.5000 0.7529  2 Ca 3.16, 6 Th 3.16-3.21
Zn 0.0000 0.5000 0.2471  2 Ca 3.16, 6 Th 3.16-3.21
Zn 0.0000 0.0000 0.0000  4 Ca 3.16, 4 Th 3.19
Th 0.5000 0.0000 0.7499  8 Zn 3.16-3.19
Th 0.5000 0.5000 0.5000  8 Zn 3.16-3.21
Th 0.5000 0.0000 0.2501  8 Zn 3.16-3.19
Ca 0.5000 0.5000 0.0000  8 Zn 3.16

Its space group is Pmmm, No. 47. As for the energy: -3.843 eV/atom. The value obtained for the formation energy is -0.17 eV/atom. The calculation puts the theoretical density at 8.41 Mg/m³.


(4)
First-principles (PBE) data for a relaxed structure of ErTeO4, as listed in Alexandria via LeMat-Bulk.

Cell: 4.9740 5.3776 12.7530 Å, 90.04 90.02 90.00°
Closest atoms and distances in Å follow each position.
Sites, in units of the cell vectors:
O 0.2777 0.5925 0.1903  1 Te 1.99
O 0.7226 0.9078 0.1904  1 Te 1.99
O 0.7781 0.4086 0.3095  1 Te 1.99
O 0.7789 0.9003 0.4571  2 Te 2.01-2.23, 1 Er 2.24
O 0.2614 0.5333 0.9371  1 Te 1.93
O 0.7614 0.4663 0.5632  1 Te 1.93
O 0.7044 0.4136 0.8182  1 Te 1.93
O 0.7209 0.4030 0.0431  2 Te 2.02-2.21, 1 Er 2.25
O 0.2230 0.0933 0.3098  1 Te 1.99
O 0.2206 0.5958 0.4569  2 Te 2.02-2.21, 1 Er 2.25
O 0.2046 0.5866 0.6818  1 Te 1.93
O 0.2792 0.0984 0.0430  2 Te 2.01-2.22, 1 Er 2.25
O 0.2388 0.0322 0.5624  1 Te 1.93
O 0.7388 0.9674 0.9373  1 Te 1.93
O 0.2954 0.0864 0.8182  1 Te 1.93
O 0.7955 0.9138 0.6819  1 Te 1.93
Er 0.9998 0.7500 0.8295  6 O 2.22-2.34
Er 0.0001 0.2502 0.1659  6 O 2.25-2.32
Er 0.4998 0.7502 0.3341  6 O 2.24-2.32
Er 0.4996 0.2497 0.6705  6 O 2.22-2.34
Te 0.9995 0.7497 0.5729  6 O 1.93-2.02
Te 0.5001 0.7501 0.0792  4 O 1.99-2.22
Te 0.4999 0.2502 0.9271  6 O 1.93-2.02
Te 0.9996 0.2505 0.4208  3 O 1.99-2.21

Its space group is P2_1, No. 4. As for the formation energy without anion corrections: -2.101 eV per atom. The value obtained for the distance to the lowest polymorph of the same formula is 0 meV per atom. As for the energy: -6.691 eV/atom. The calculation puts the theoretical density at 6.99 Mg/m³.


(5)
First-principles (PBE) data for a relaxed structure of AuSeO, as listed in Alexandria via LeMat-Bulk.

Cell: 2.9799 4.0391 5.3283 Å, 72.86 89.92 87.27°
Closest atoms and distances in Å follow each position.
Sites, in units of the cell vectors:
O 0.8663 0.0326 0.5184  1 Se 1.77
Au 0.8767 0.8831 0.1723  1 O 2.10
Se 0.8913 0.6637 0.7980  1 O 1.77

Its space group is P1, No. 1. As for the formation energy without anion corrections: -0.106 eV per atom. The value obtained for the distance to the lowest polymorph of the same formula is 2 meV per atom. As for the energy: -4.012 eV/atom. The calculation puts the theoretical density at 7.92 Mg/m³.


(6)
First-principles (PBE) data for a relaxed structure of Pr2Sm2S3, as listed in Alexandria via LeMat-Bulk.

Cell: 4.0514 6.9578 6.9976 Å, 100.91 106.83 90.00°
Closest atoms and distances in Å follow each position.
Sites, in units of the cell vectors:
Sm 0.8706 0.6297 0.7413  4 S 2.79-2.81
Sm 0.1294 0.3703 0.2587  4 S 2.79-2.81
Pr 0.3745 0.1289 0.7489  5 S 2.84-2.89
Pr 0.6255 0.8711 0.2511  5 S 2.84-2.89
S 0.2522 0.7457 0.5043  3 Sm 2.79-2.80, 3 Pr 2.84-2.89
S 0.0000 0.0000 0.0000  2 Sm 2.81, 4 Pr 2.89
S 0.7478 0.2543 0.4957  3 Sm 2.79-2.80, 3 Pr 2.84-2.89

Its space group is C2/m, No. 12. As for the formation energy without anion corrections: -1.716 eV per atom. As for the energy: -6.199 eV/atom. The calculation puts the theoretical density at 6.09 Mg/m³.


(7)
First-principles (PBE) data for a relaxed structure of BaIN2O, as listed in Alexandria via LeMat-Bulk.

Cell: 4.8682 5.2033 4.8682 Å, 90.00 90.00 90.00°
Closest atoms and distances in Å follow each position.
Sites, in units of the cell vectors:
O 0.0000 0.0000 0.0000  4 N 2.43, 2 Ba 2.60
Ba 0.0000 0.5000 0.0000  2 O 2.60
N 0.5000 0.0000 0.0000  2 O 2.43
N 0.0000 0.0000 0.5000  2 O 2.43
I 0.5000 0.5000 0.5000  4 Ba 3.44, 8 N 3.56

Its space group is P4/mmm, No. 123. As for the formation energy without anion corrections: 1.111 eV per atom. As for the energy: -3.905 eV/atom. The calculation puts the theoretical density at 4.15 Mg/m³.


(8)
First-principles (PBE) data for a relaxed structure of K2InW, as listed in Alexandria via LeMat-Bulk.

Cell: 6.7431 6.7431 2.9168 Å, 90.00 90.00 127.34°
Closest atoms and distances in Å follow each position.
Sites, in units of the cell vectors:
K 0.0000 0.0000 0.0000  4 K 2.92-2.99
K 0.5000 0.5000 0.0000  4 K 2.92-2.99
W 0.5000 0.0000 0.5000  2 W 2.92, 2 In 2.99
In 0.0000 0.5000 0.5000  2 In 2.92, 2 W 2.99

Its space group is Cmmm, No. 65. As for the energy: -3.281 eV/atom. The value obtained for the formation energy is 1.19 eV/atom. The calculation puts the theoretical density at 5.94 Mg/m³.


(9)
First-principles (PBE) data for a relaxed structure of PaMnVSb, as listed in Alexandria via LeMat-Bulk.

Cell: 4.6389 4.6389 4.6389 Å, 60.00 60.00 60.00°
Closest atoms and distances in Å follow each position.
Sites, in units of the cell vectors:
Sb 0.2500 0.2500 0.2500  4 Mn 2.84, 4 V 2.84
Pa 0.7500 0.7500 0.7500  4 Mn 2.84, 4 V 2.84
V 0.5000 0.5000 0.5000  4 Pa 2.84, 4 Sb 2.84
Mn 0.0000 0.0000 0.0000  4 Pa 2.84, 4 Sb 2.84

Its space group is F-43m, No. 216. As for the formation energy without anion corrections: 0.007 eV per atom. As for the energy: -7.970 eV/atom. The calculation puts the theoretical density at 10.79 Mg/m³.


(10)
First-principles (PBE) data for a relaxed structure of BaTb2Hg3, as listed in Alexandria via LeMat-Bulk.

Cell: 3.8406 3.8406 11.8472 Å, 90.00 90.00 90.00°
Closest atoms and distances in Å follow each position.
Sites, in units of the cell vectors:
Hg 0.0000 0.0000 0.2962  4 Tb 3.19, 1 Hg 3.51
Hg 0.0000 0.0000 0.7038  4 Tb 3.19, 1 Hg 3.51
Hg 0.0000 0.0000 0.0000  8 Tb 3.28, 2 Hg 3.51
Ba 0.5000 0.5000 0.5000  8 Hg 3.63, 4 Ba 3.84
Tb 0.5000 0.5000 0.1549  8 Hg 3.19-3.28
Tb 0.5000 0.5000 0.8451  8 Hg 3.19-3.28

Its space group is P4/mmm, No. 123. As for the energy: -2.492 eV/atom. The value obtained for the formation energy is -0.48 eV/atom. The calculation puts the theoretical density at 10.04 Mg/m³.